(1)
## SmScPtAu (PBE)

Data for an optimized crystal structure of SmScPtAu.

Summary:
As for the crystal system: cubic. The calculation puts the density of states at the Fermi level at 2.8 states/eV/f.u. As for the calculated total energy: -6.017 eV/atom. For the formation energy, the calculation gives -925 meV per atom. The space-group type is No. 216. Its volume is 86 Å³ per cell.

a = 4.9480 Å, b = 4.9480 Å, c = 4.9480 Å
α = 60.00°, β = 60.00°, γ = 60.00°
Fractional coordinates of all 4 atoms:
Sc: 0.5000 0.5000 0.5000
Au: 0.2500 0.2500 0.2500
Sm: 0.0000 0.0000 0.0000
Pt: 0.7500 0.7500 0.7500


(2)
## ScSnPtAu (PBE)

Data for an optimized crystal structure of ScSnPtAu.

Summary:
As for the crystal system: cubic. The calculation puts the density of states at the Fermi level at 1.8 states/eV/f.u. As for the calculated total energy: -5.644 eV/atom. For the formation energy, the calculation gives -731 meV per atom. The space-group type is No. 216. Its volume is 76 Å³ per cell.

a = 4.7491 Å, b = 4.7491 Å, c = 4.7491 Å
α = 60.00°, β = 60.00°, γ = 60.00°
Fractional coordinates of all 4 atoms:
Sc: 0.0000 0.0000 0.0000
Au: 0.2500 0.2500 0.2500
Sn: 0.5000 0.5000 0.5000
Pt: 0.7500 0.7500 0.7500


(3)
## TbScPtAu (PBE)

Data for an optimized crystal structure of TbScPtAu.

Summary:
As for the crystal system: cubic. The calculation puts the density of states at the Fermi level at 2.7 states/eV/f.u. As for the calculated total energy: -6.054 eV/atom. For the formation energy, the calculation gives -984 meV per atom. The space-group type is No. 216. Its volume is 83 Å³ per cell.

a = 4.8990 Å, b = 4.8990 Å, c = 4.8990 Å
α = 60.00°, β = 60.00°, γ = 60.00°
Fractional coordinates of all 4 atoms:
Sc: 0.0000 0.0000 0.0000
Tb: 0.5000 0.5000 0.5000
Au: 0.2500 0.2500 0.2500
Pt: 0.7500 0.7500 0.7500


(4)
## ScTl2PtAu (PBE)

Data for an optimized crystal structure of ScTl2PtAu.

Summary:
As for the crystal system: tetragonal. The calculation puts the density of states at the Fermi level at 4.9 states/eV/f.u. As for the calculated total energy: -3.788 eV/atom. For the formation energy, the calculation gives 288 meV per atom. The space-group type is No. 123. Its volume is 139 Å³ per cell.

a = 5.1482 Å, b = 5.1482 Å, c = 5.2304 Å
α = 90.00°, β = 90.00°, γ = 90.00°
Fractional coordinates of all 5 atoms:
Sc: 0.5000 0.5000 0.5000
Tl: 0.0000 0.5000 0.0000
Tl: 0.5000 0.0000 0.0000
Au: 0.0000 0.0000 0.5000
Pt: 0.0000 0.0000 0.0000


(5)
## ScV2PtAu (PBE)

Data for an optimized crystal structure of ScV2PtAu.

Summary:
As for the crystal system: tetragonal. The calculation puts the density of states at the Fermi level at 8.8 states/eV/f.u. As for the calculated total energy: -5.392 eV/atom. For the formation energy, the calculation gives 1385 meV per atom. The space-group type is No. 123. Its volume is 91 Å³ per cell.

a = 4.3197 Å, b = 4.8943 Å, c = 4.3197 Å
α = 90.00°, β = 90.00°, γ = 90.00°
Fractional coordinates of all 5 atoms:
Sc: 0.0000 0.0000 0.0000
Au: 0.0000 0.5000 0.0000
Pt: 0.5000 0.5000 0.5000
V: 0.0000 0.0000 0.5000
V: 0.5000 0.0000 0.0000


(6)
## Sc4ZnPt2Au (PBE)

Data for an optimized crystal structure of Sc4ZnPt2Au.

Summary:
As for the crystal system: trigonal. The calculation puts the density of states at the Fermi level at 5.3 states/eV/f.u. As for the calculated total energy: -6.175 eV/atom. For the formation energy, the calculation gives -930 meV per atom. The space-group type is No. 166. Its volume is 149 Å³ per cell.

a = 4.6986 Å, b = 4.6986 Å, c = 8.2421 Å
α = 73.44°, β = 73.44°, γ = 60.00°
Fractional coordinates of all 8 atoms:
Sc: 0.3755 0.3755 0.8736
Sc: 0.8757 0.8757 0.3728
Sc: 0.1243 0.1243 0.6272
Sc: 0.6245 0.6245 0.1264
Zn: 0.0000 0.0000 0.0000
Pt: 0.7435 0.7435 0.7694
Pt: 0.2565 0.2565 0.2306
Au: 0.5000 0.5000 0.5000


(7)
## PtAu3Se (PBE)

Data for an optimized crystal structure of PtAu3Se.

Summary:
As for the crystal system: cubic. The calculation puts the density of states at the Fermi level at 4.0 states/eV/f.u. As for the offset from the most stable computed form: 0 meV per atom. As for the calculated total energy: -2.995 eV/atom. The space-group type is No. 221. Its volume is 115 Å³ per cell.

a = 4.8691 Å, b = 4.8691 Å, c = 4.8691 Å
α = 90.00°, β = 90.00°, γ = 90.00°
Fractional coordinates of all 5 atoms:
Au: 0.0000 0.5000 0.0000
Au: 0.0000 0.0000 0.5000
Au: 0.5000 0.0000 0.0000
Se: 0.0000 0.0000 0.0000
Pt: 0.5000 0.5000 0.5000


(8)
## PtAu4Se (PBE)

Data for an optimized crystal structure of PtAu4Se.

Summary:
As for the crystal system: cubic. The calculation puts the density of states at the Fermi level at 2.8 states/eV/f.u. As for the calculated total energy: -3.341 eV/atom. The space-group type is No. 216. Its volume is 116 Å³ per cell.

a = 5.4810 Å, b = 5.4810 Å, c = 5.4810 Å
α = 60.00°, β = 60.00°, γ = 60.00°
Fractional coordinates of all 6 atoms:
Pt: 0.7500 0.7500 0.7500
Au: 0.8743 0.3752 0.3752
Au: 0.3752 0.3752 0.8743
Au: 0.3752 0.8743 0.3752
Au: 0.3752 0.3752 0.3752
Se: 0.0000 0.0000 0.0000


(9)
## Pt2AuSe2 (PBE)

Data for an optimized crystal structure of Pt2AuSe2.

Summary:
As for the crystal system: tetragonal. The calculation puts the density of states at the Fermi level at 4.6 states/eV/f.u. As for the calculated total energy: -4.170 eV/atom. The space-group type is No. 139. Its volume is 100 Å³ per cell.

a = 3.8199 Å, b = 3.8199 Å, c = 7.3791 Å
α = 75.00°, β = 75.00°, γ = 90.00°
Fractional coordinates of all 5 atoms:
Au: 0.0000 0.0000 0.0000
Se: 0.3822 0.3822 0.2356
Se: 0.6178 0.6178 0.7644
Pt: 0.7500 0.2500 0.5000
Pt: 0.2500 0.7500 0.5000


(10)
## PtAu3Se (PBE)

Data for an optimized crystal structure of PtAu3Se.

Summary:
As for the crystal system: cubic. The calculation puts the density of states at the Fermi level at 6.3 states/eV/f.u. As for the offset from the most stable computed form: 74 meV per atom. As for the calculated total energy: -2.921 eV/atom. The space-group type is No. 221. Its volume is 129 Å³ per cell.

a = 5.0566 Å, b = 5.0566 Å, c = 5.0566 Å
α = 90.00°, β = 90.00°, γ = 90.00°
Fractional coordinates of all 5 atoms:
Au: 0.0000 0.5000 0.0000
Au: 0.0000 0.0000 0.5000
Au: 0.5000 0.0000 0.0000
Se: 0.5000 0.5000 0.5000
Pt: 0.0000 0.0000 0.0000


(11)
## Pt3AuSe (PBE)

Data for an optimized crystal structure of Pt3AuSe.

Summary:
As for the crystal system: cubic. The calculation puts the density of states at the Fermi level at 6.2 states/eV/f.u. As for the offset from the most stable computed form: 874 meV per atom. As for the calculated total energy: -3.477 eV/atom. The space-group type is No. 221. Its volume is 121 Å³ per cell.

a = 4.9518 Å, b = 4.9518 Å, c = 4.9518 Å
α = 90.00°, β = 90.00°, γ = 90.00°
Fractional coordinates of all 5 atoms:
Au: 0.0000 0.0000 0.0000
Se: 0.5000 0.5000 0.5000
Pt: 0.0000 0.5000 0.0000
Pt: 0.0000 0.0000 0.5000
Pt: 0.5000 0.0000 0.0000


(12)
## PtAuSe4 (PBE)

Data for an optimized crystal structure of PtAuSe4.

Summary:
As for the crystal system: cubic. The calculation puts the density of states at the Fermi level at 6.9 states/eV/f.u. As for the offset from the most stable computed form: 1080 meV per atom. As for the calculated total energy: -2.972 eV/atom. The space-group type is No. 216. Its volume is 124 Å³ per cell.

a = 5.5946 Å, b = 5.5946 Å, c = 5.5946 Å
α = 60.00°, β = 60.00°, γ = 60.00°
Fractional coordinates of all 6 atoms:
Pt: 0.0000 0.0000 0.0000
Au: 0.7500 0.7500 0.7500
Se: 0.8778 0.3741 0.3741
Se: 0.3741 0.3741 0.8778
Se: 0.3741 0.8778 0.3741
Se: 0.3741 0.3741 0.3741